TcAs2Ru, optimized geometry, DFT GGA-PBE; excess energy over the best structure of this formula in the dataset = 0.129 eV/atom; calculated volume = 60 Å³ per cell; formation energy = 0.00 eV per atom; magnetic moment = 0.00 μB per formula unit
1.0
4.223 0.000 0.000
0.000 3.009 0.000
-2.072 0.000 4.740
Tc As Ru
1 2 1
Cartesian
0.000 0.000 0.000 Tc
-1.036 0.000 2.370 As
2.111 1.504 0.000 As
1.075 1.504 2.370 Ru



NbZn2BF, optimized geometry, DFT GGA-PBE; formation energy without anion corrections = 0.90 eV/atom; calculated volume = 115 Å³ per cell; magnetic moment = 0.00 μB per formula unit
1.0
5.319 0.000 0.000
0.000 5.319 0.000
0.000 0.000 4.074
Nb Zn B F
1 2 1 1
Cartesian
0.000 0.000 0.000 Nb
0.000 2.660 0.000 Zn
2.660 0.000 0.000 Zn
0.000 0.000 2.037 B
2.660 2.660 2.037 F



Ce3ThGe2, optimized geometry, DFT GGA-PBE; calculated volume = 299 Å³ per cell; formation energy = -0.46 eV per atom; magnetic moment = 0.41 μB per formula unit
1.0
8.806 -2.109 0.000
8.806 2.109 0.000
-3.724 0.000 8.062
Ce Th Ge
6 2 4
Cartesian
-0.501 0.000 3.643 Ce
2.742 0.000 4.842 Ce
5.414 0.000 2.506 Ce
8.474 0.000 5.556 Ce
11.146 0.000 3.220 Ce
14.389 0.000 4.420 Ce
1.799 0.000 0.298 Th
12.089 0.000 7.764 Th
1.053 0.000 7.292 Ge
5.358 0.000 6.589 Ge
8.530 0.000 1.473 Ge
12.835 0.000 0.771 Ge



Nd3Zn2Ni3, optimized geometry, DFT GGA-PBE; excess energy over the best structure of this formula in the dataset = 0.000 eV/atom; calculated volume = 324 Å³ per cell; formation energy = -0.35 eV per atom; magnetic moment = 0.00 μB per formula unit
1.0
2.001 -5.842 0.000
2.001 5.842 0.000
0.000 0.000 13.846
Nd Zn Ni
6 4 6
Cartesian
2.001 4.925 8.457 Nd
2.001 4.925 12.312 Nd
2.001 1.742 10.385 Nd
2.001 -1.742 3.462 Nd
2.001 -4.925 1.534 Nd
2.001 -4.925 5.389 Nd
2.001 3.282 1.097 Zn
2.001 3.282 5.826 Zn
2.001 -3.282 8.020 Zn
2.001 -3.282 12.749 Zn
2.001 2.038 3.462 Ni
2.001 1.135 7.458 Ni
2.001 1.135 13.311 Ni
2.001 -1.135 0.535 Ni
2.001 -1.135 6.388 Ni
2.001 -2.038 10.385 Ni



MgPbSe, optimized geometry, DFT GGA-PBE; formation energy without anion corrections = -0.45 eV/atom; excess energy over the best structure of this formula in the dataset = 0.055 eV/atom; calculated volume = 81 Å³ per cell; magnetic moment = 0.00 μB per formula unit
1.0
3.962 0.000 0.000
-1.981 3.431 0.000
0.000 0.000 5.981
Mg Pb Se
1 1 1
Cartesian
0.000 0.000 0.000 Mg
1.981 1.144 2.426 Pb
0.000 2.287 4.740 Se



Ac2TmMgO6, optimized geometry, DFT GGA-PBE; formation energy without anion corrections = -3.05 eV/atom; calculated volume = 294 Å³ per cell; magnetic moment = 1.06 μB per formula unit
1.0
5.880 0.000 0.000
0.000 6.001 0.000
-5.803 0.000 8.342
Ac Tm Mg O
4 2 2 12
Cartesian
-0.058 0.278 2.078 Ac
-2.960 2.723 6.249 Ac
3.037 3.278 2.093 Ac
0.135 5.723 6.264 Ac
2.940 0.000 0.000 Tm
0.038 3.000 4.171 Tm
-2.901 0.000 4.171 Mg
0.000 3.000 0.000 Mg
-4.632 1.256 7.905 O
-1.731 1.744 3.734 O
-4.105 4.213 7.902 O
-1.203 4.788 3.731 O
-2.309 0.221 6.209 O
0.592 2.779 2.038 O
-0.515 3.221 6.304 O
2.386 5.780 2.133 O
1.280 1.213 4.611 O
4.182 1.787 0.440 O
1.807 4.256 4.607 O
4.709 4.745 0.437 O



AcSm6Dy2Y, optimized geometry, DFT GGA-PBE; calculated volume = 696 Å³ per cell; formation energy = 0.12 eV per atom; magnetic moment = 0.00 μB per formula unit
1.0
4.650 -7.737 0.000
4.650 7.737 0.000
-0.996 0.000 9.670
Ac Sm Dy Y
2 12 4 2
Cartesian
3.903 7.323 7.252 Ac
4.401 -7.323 2.417 Ac
1.979 4.203 6.599 Sm
4.023 4.832 0.530 Sm
4.779 4.832 4.305 Sm
2.823 1.685 8.519 Sm
5.826 4.203 7.905 Sm
4.983 1.685 5.985 Sm
3.321 -1.685 3.684 Sm
2.477 -4.203 1.764 Sm
5.481 -1.685 1.151 Sm
3.525 -4.832 5.365 Sm
4.281 -4.832 9.140 Sm
6.324 -4.203 3.071 Sm
1.866 0.871 5.283 Dy
2.364 -0.871 0.448 Dy
5.940 0.871 9.222 Dy
6.438 -0.871 4.387 Dy
4.401 1.369 2.417 Y
3.903 -1.369 7.252 Y



CrMoIr3, optimized geometry, DFT GGA-PBE; excess energy over the best structure of this formula in the dataset = 1.327 eV/atom; calculated volume = 89 Å³ per cell; formation energy = 1.41 eV per atom; magnetic moment = 3.33 μB per formula unit
1.0
4.460 0.000 0.000
0.000 4.460 0.000
0.000 0.000 4.460
Cr Mo Ir
1 1 3
Cartesian
0.000 0.000 0.000 Cr
2.230 2.230 2.230 Mo
0.000 0.000 2.230 Ir
0.000 2.230 0.000 Ir
2.230 0.000 0.000 Ir



Number 1: density 9.62 g cm⁻³. Number 2: density 3.65 g cm⁻³. Number 3: density 8.85 g cm⁻³. Number 4: density 7.59 g cm⁻³. Number 5: density 6.34 g cm⁻³. Number 6: density 8.39 g cm⁻³. Number 7: density 7.37 g cm⁻³. Number 8: density 13.56 g cm⁻³.